# TbDyNp2As4 GGA-PBE relaxed
data_TbDyNp2As4
_cell_length_a 7.118
_cell_length_b 4.108
_cell_length_c 7.145
_cell_angle_alpha 90.00
_cell_angle_beta 109.38
_cell_angle_gamma 90.00
_space_group_name_H-M_alt 'P 1 2/m 1'
_space_group_IT_number 10
loop_
_space_group_symop_operation_xyz
'x,y,z'
'-x,-y,-z'
'-x,y,-z'
'x,-y,z'
loop_
_atom_site_label
_atom_site_type_symbol
_atom_site_fract_x
_atom_site_fract_y
_atom_site_fract_z
_atom_site_occupancy
Tb1 Tb 0.000 0.000 0.000 1
Dy1 Dy 0.500 0.500 0.000 1
Np1 Np 0.000 0.500 0.500 1
Np2 Np 0.500 0.000 0.500 1
As1 As 0.250 0.000 0.747 1
As2 As 0.252 0.500 0.254 1
# E	-7.82	eV/atom

# TaPd3Pt2 GGA-PBE relaxed
data_TaPd3Pt2
_cell_length_a 8.789
_cell_length_b 2.809
_cell_length_c 15.593
_cell_angle_alpha 90.00
_cell_angle_beta 90.00
_cell_angle_gamma 90.00
_space_group_name_H-M_alt 'P n m a'
_space_group_IT_number 62
loop_
_space_group_symop_operation_xyz
'x,y,z'
'-x,-y,-z'
'-x+1/2,-y,z+1/2'
'x+1/2,y,-z+1/2'
'x+1/2,-y+1/2,-z+1/2'
'-x+1/2,y+1/2,z+1/2'
'-x,y+1/2,-z'
'x,-y+1/2,z'
loop_
_atom_site_label
_atom_site_type_symbol
_atom_site_fract_x
_atom_site_fract_y
_atom_site_fract_z
_atom_site_occupancy
Ta1 Ta 0.207 0.250 0.162 1
Pd1 Pd 0.013 0.750 0.581 1
Pd2 Pd 0.033 0.250 0.918 1
Pd3 Pd 0.246 0.250 0.325 1
Pt1 Pt 0.019 0.250 0.736 1
Pt2 Pt 0.249 0.750 0.014 1
# E	-6.87	eV/atom

# Zr2UN4 GGA-PBE relaxed
data_Zr2UN4
_cell_length_a 3.213
_cell_length_b 10.686
_cell_length_c 10.570
_cell_angle_alpha 90.00
_cell_angle_beta 90.00
_cell_angle_gamma 90.00
_space_group_name_H-M_alt 'C m c m'
_space_group_IT_number 63
_space_group_name_Hall '-C 2c 2'
loop_
_atom_site_label
_atom_site_type_symbol
_atom_site_fract_x
_atom_site_fract_y
_atom_site_fract_z
_atom_site_occupancy
Zr1 Zr 0.000 0.130 0.067 1
U1 U 0.000 0.384 0.250 1
N1 N 0.000 0.030 0.250 1
N2 N 0.000 0.226 0.621 1
N3 N 0.000 0.500 0.000 1
# E_form (uncorrected)	-1.487	eV/atom

# Pm2FeNi4P3 GGA-PBE relaxed
data_Pm2FeNi4P3
_cell_length_a 3.970
_cell_length_b 3.970
_cell_length_c 9.441
_cell_angle_alpha 90.00
_cell_angle_beta 90.00
_cell_angle_gamma 90.00
_space_group_name_H-M_alt 'P -4 m 2'
_space_group_IT_number 115
loop_
_space_group_symop_operation_xyz
'x,y,z'
'y,-x,-z'
'-x,-y,z'
'-y,x,-z'
'-x,y,z'
'-y,-x,-z'
'x,-y,z'
'y,x,-z'
loop_
_atom_site_label
_atom_site_type_symbol
_atom_site_fract_x
_atom_site_fract_y
_atom_site_fract_z
_atom_site_occupancy
Pm1 Pm 0.000 0.500 0.246 1
Fe1 Fe 0.000 0.000 0.500 1
Ni1 Ni 0.000 0.000 0.000 1
Ni2 Ni 0.000 0.500 0.626 1
Ni3 Ni 0.500 0.500 0.000 1
P1 P 0.000 0.500 0.870 1
P2 P 0.500 0.500 0.500 1
# E	-6.58	eV/atom